1.
Density functional theory data (PBE) for a relaxed Ba3HoZn2O6 crystal.

The value obtained for the uncorrected formation energy is -2.234 eV per atom.

The space group is P-3m1 (No. 164) and the conventional cell measures 6.1543, 6.1543 and 7.0439 Å, with angles of 90.00, 90.00 and 120.00 degrees. Symmetry generates all atoms from Ba at (0.0000, 0.0000, 0.0000), Ba at (0.3333, 0.6667, 0.6433), Ho at (0.0000, 0.0000, 0.5000), Zn at (0.3333, 0.6667, 0.1997) and O at (0.1665, 0.3330, 0.3072).


2.
Density functional theory data (PBE) for a relaxed Ba2HoZn2O6 crystal.

The value obtained for the uncorrected formation energy is -2.163 eV per atom.

The space group is R-3m (No. 166, hexagonal axes) and the conventional cell measures 6.1093, 6.1093 and 17.5582 Å, with angles of 90.00, 90.00 and 120.00 degrees. Symmetry generates all atoms from Ba at (0.0000, 0.0000, 0.2115), Ho at (0.0000, 0.0000, 0.0000), Zn at (0.0000, 0.0000, 0.4206) and O at (0.0188, 0.5094, 0.7529).


3.
Density functional theory data (PBE) for a relaxed BaHo2ZnO5 crystal.

The value obtained for the uncorrected formation energy is -2.884 eV per atom.

The space group is Pnma (No. 62) and the conventional cell measures 12.398, 5.741 and 7.122 Å, with angles of 90.00, 90.00 and 90.00 degrees. Symmetry generates all atoms from Ba at (0.102, 0.250, 0.077), Ho at (0.074, 0.750, 0.400), Ho at (0.208, 0.250, 0.619), Zn at (0.150, 0.750, 0.808), O at (0.066, 0.501, 0.662), O at (0.101, 0.750, 0.076) and O at (0.225, 0.000, 0.359).


4.
Density functional theory data (PBE) for a relaxed Ba2HoZnO5 crystal.

The value obtained for the uncorrected formation energy is -2.365 eV per atom.

The space group is Cmc2_1 (No. 36) and the conventional cell measures 3.566, 15.317 and 11.131 Å, with angles of 90.00, 90.00 and 90.00 degrees. Symmetry generates all atoms from Ba at (0.000, 0.110, 0.000), Ba at (0.000, 0.131, 0.639), Ho at (0.000, 0.202, 0.340), Zn at (0.000, 0.454, 0.765), O at (0.000, 0.045, 0.343), O at (0.000, 0.293, 0.970), O at (0.000, 0.322, 0.708), O at (0.000, 0.343, 0.322) and O at (0.000, 0.498, 0.106).


5.
Density functional theory data (PBE) for a relaxed Ba5Ho8Zn4O21 crystal.

The value obtained for the uncorrected formation energy is -2.873 eV per atom.

The space group is I4/m (No. 87) and the conventional cell measures 13.854, 13.854 and 5.738 Å, with angles of 90.00, 90.00 and 90.00 degrees. Symmetry generates all atoms from Ba at (0.000, 0.000, 0.000), Ba at (0.035, 0.360, 0.500), Ho at (0.089, 0.858, 0.500), Ho at (0.168, 0.247, 0.000), Zn at (0.041, 0.750, 0.000), O at (0.000, 0.000, 0.500), O at (0.038, 0.372, 0.000), O at (0.048, 0.178, 0.250) and O at (0.149, 0.743, 0.249).


6.
Density functional theory data (PBE) for a relaxed Ba3HoZr2O9 crystal.

The value obtained for the uncorrected formation energy is -3.064 eV per atom.

The space group is P-3m1 (No. 164) and the conventional cell measures 6.1058, 6.1058 and 7.4849 Å, with angles of 90.00, 90.00 and 120.00 degrees. Symmetry generates all atoms from Ba at (0.0000, 0.0000, 0.0000), Ba at (0.3333, 0.6667, 0.6663), Ho at (0.0000, 0.0000, 0.5000), Zr at (0.3333, 0.6667, 0.1653), O at (0.0000, 0.5000, 0.0000) and O at (0.1714, 0.3427, 0.3257).


7.
Density functional theory data (PBE) for a relaxed BaHoP crystal.

As for the energy of formation from the pure elements: -0.821 eV/atom.

The space group is P4/nmm (No. 129, origin choice 2) and the conventional cell measures 4.502, 4.502 and 10.478 Å, with angles of 90.00, 90.00 and 90.00 degrees. Symmetry generates all atoms from Ba at (0.250, 0.250, 0.189), Ho at (0.250, 0.750, 0.500) and P at (0.250, 0.250, 0.665).


8.
Density functional theory data (PBE) for a relaxed BaHoP2 crystal.

As for the energy of formation from the pure elements: -1.081 eV/atom.

The space group is R-3m (No. 166, hexagonal axes) and the conventional cell measures 4.2491, 4.2491 and 21.5792 Å, with angles of 90.00, 90.00 and 120.00 degrees. Symmetry generates all atoms from Ba at (0.0000, 0.0000, 0.0000), Ho at (0.0000, 0.0000, 0.5000) and P at (0.0000, 0.0000, 0.2342).


9.
Density functional theory data (PBE) for a relaxed Ba3Ho2PaP6 crystal.

As for the energy of formation from the pure elements: -1.190 eV/atom.

The space group is C2/m (No. 12) and the conventional cell measures 7.312, 12.668 and 7.670 Å, with angles of 90.00, 108.55 and 90.00 degrees. Symmetry generates all atoms from Ba at (0.000, 0.000, 0.000), Ba at (0.000, 0.331, 0.000), Ho at (0.000, 0.166, 0.500), Pa at (0.000, 0.500, 0.500), P at (0.230, 0.338, 0.702) and P at (0.244, 0.000, 0.704).


10.
Density functional theory data (PBE) for a relaxed Ba3Ho2UP6 crystal.

As for the energy of formation from the pure elements: -1.161 eV/atom.

The space group is C2/m (No. 12) and the conventional cell measures 7.247, 12.547 and 7.678 Å, with angles of 90.00, 108.30 and 90.00 degrees. Symmetry generates all atoms from Ba at (0.000, 0.000, 0.000), Ba at (0.000, 0.329, 0.000), Ho at (0.000, 0.166, 0.500), U at (0.000, 0.500, 0.500), P at (0.225, 0.342, 0.699) and P at (0.248, 0.500, 0.298).


11.
Density functional theory data (PBE) for a relaxed BaHo2Pa crystal.

As for the energy of formation from the pure elements: 0.295 eV/atom.

The space group is R-3m (No. 166, hexagonal axes) and the conventional cell measures 3.5013, 3.5013 and 37.4394 Å, with angles of 90.00, 90.00 and 120.00 degrees. Symmetry generates all atoms from Ba at (0.0000, 0.0000, 0.0000), Ho at (0.0000, 0.0000, 0.0961) and Pa at (0.0000, 0.0000, 0.5000).


12.
Density functional theory data (PBE) for a relaxed BaHoPa2S8 crystal.

The value obtained for the uncorrected formation energy is -1.542 eV per atom.

The space group is P2/m (No. 10) and the conventional cell measures 6.461, 8.504 and 6.466 Å, with angles of 90.00, 91.71 and 90.00 degrees. Symmetry generates all atoms from Ba at (0.000, 0.000, 0.000), Ho at (0.000, 0.500, 0.000), Pa at (0.500, 0.252, 0.500), S at (0.228, 0.282, 0.204), S at (0.305, 0.500, 0.684) and S at (0.314, 0.000, 0.654).


| no. | mass density (kg/m³) |
| --- | --- |
| 1 | 5776 |
| 2 | 5849 |
| 3 | 8027 |
| 4 | 6392 |
| 5 | 7851 |
| 6 | 6207 |
| 7 | 5211 |
| 8 | 5377 |
| 9 | 5713 |
| 10 | 5840 |
| 11 | 8751 |
| 12 | 4773 |